# 1
Material: SmSc2Ga9
Method: DFT, PBE
State: optimized geometry

Calculated formation energy (eV per formula unit): -6.09
Space-group type: P4/mmm (123)

a = 4.1945 Å, b = 4.1945 Å, c = 12.5701 Å
α = 90.00°, β = 90.00°, γ = 90.00°
Positions (direct):
Ga 0.5000 0.5000 0.0000
Ga 0.5000 0.0000 0.1770
Sm 0.0000 0.0000 0.0000
Ga 0.0000 0.5000 0.8230
Sc 0.0000 0.0000 0.6610
Ga 0.5000 0.0000 0.5000
Ga 0.0000 0.5000 0.1770
Ga 0.5000 0.5000 0.6645
Sc 0.0000 0.0000 0.3390
Ga 0.5000 0.5000 0.3355
Ga 0.0000 0.5000 0.5000
Ga 0.5000 0.0000 0.8230



# 2
Material: SmScGa
Method: DFT, PBE
State: optimized geometry

Excess energy over the best structure of this formula in the dataset (kJ/mol of atoms): 11.1
Calculated formation energy (eV per formula unit): -0.98
Space-group type: P3m1 (156)

a = 3.6659 Å, b = 4.8476 Å, c = 4.8476 Å
α = 120.00°, β = 90.00°, γ = 90.00°
Positions (direct):
Ga 0.5240 0.3333 0.6667
Sm 0.9929 0.0000 0.0000
Sc 0.4831 0.6667 0.3333



# 3
Material: Sm2ScGa3
Method: DFT, PBE
State: optimized geometry

Calculated formation energy (eV per formula unit): -1.91
Space-group type: Immm (71)

a = 3.5327 Å, b = 5.9437 Å, c = 7.9817 Å
α = 111.86°, β = 102.79°, γ = 90.00°
Positions (direct):
Sc 0.0000 0.5000 0.0000
Ga 0.6546 0.6546 0.3093
Sm 0.3293 0.8293 0.6587
Sm 0.6707 0.1707 0.3413
Ga 0.0000 0.0000 0.0000
Ga 0.3454 0.3454 0.6907